Here is Li3Cd4Pb after structural relaxation from Alexandria. Energies are from PBE.

## Properties
- Energy above the lowest structure with this stoichiometry: 0.27 eV/f.u.

Cell: 3.229 4.626 11.944 Å, 80.08 82.45 89.98°
Space group P-1 (No. 2)
Unique sites:
Li 0.000 0.000 0.000 [1 per cell]
Li 0.145 0.643 0.706 [2 per cell]
Cd 0.276 0.776 0.445 [2 per cell]
Cd 0.403 0.905 0.198 [2 per cell]
Pb 0.500 0.500 0.000 [1 per cell]

***

Here is Li2Cd3Pb after structural relaxation from Alexandria. Energies are from PBE.

## Properties
- Energy above the lowest structure with this stoichiometry: 0.46 eV/f.u.

Cell: 9.779 9.047 8.011 Å, 90.00 127.43 90.00°
Space group C2/c (No. 15)
Unique sites:
Li 0.248 0.122 0.255 [8 per cell]
Cd 0.000 0.070 0.750 [4 per cell]
Cd 0.126 0.374 0.983 [8 per cell]
Pb 0.000 0.311 0.250 [4 per cell]

***

Here is LiCd2Pb2 after structural relaxation from Alexandria. Energies are from PBE.

## Properties
- Energy above the lowest structure with this stoichiometry: 0.54 eV/f.u.

Cell: 4.112 4.112 16.464 Å, 90.00 90.00 90.00°
Space group I4/mmm (No. 139)
Unique sites:
Li 0.000 0.000 0.000 [2 per cell]
Cd 0.000 0.500 0.250 [4 per cell]
Pb 0.000 0.000 0.398 [4 per cell]

***

Here is Li2CdPb8 after structural relaxation from Alexandria. Energies are from PBE.

## Properties
- Energy above the lowest structure with this stoichiometry: 0.00 eV/f.u.

Cell: 16.997 4.960 7.808 Å, 90.00 109.43 90.00°
Space group C2/m (No. 12)
Unique sites:
Li 0.225 0.000 0.147 [4 per cell]
Cd 0.000 0.500 0.500 [2 per cell]
Pb 0.041 0.000 0.236 [4 per cell]
Pb 0.105 0.500 0.973 [4 per cell]
Pb 0.148 0.000 0.716 [4 per cell]
Pb 0.180 0.500 0.431 [4 per cell]

***

Here is Li5Cd2Pb12 after structural relaxation from Alexandria. Energies are from PBE.

Cell: 15.878 7.194 9.587 Å, 90.00 101.70 90.00°
Space group C2/m (No. 12)
Unique sites:
Li 0.000 0.000 0.000 [2 per cell]
Li 0.132 0.500 0.397 [4 per cell]
Li 0.246 0.000 0.016 [4 per cell]
Cd 0.000 0.254 0.500 [4 per cell]
Pb 0.059 0.500 0.790 [4 per cell]
Pb 0.069 0.000 0.762 [4 per cell]
Pb 0.114 0.274 0.115 [8 per cell]
Pb 0.214 0.262 0.653 [8 per cell]

***

Here is Li3Cd5Pb after structural relaxation from Alexandria. Energies are from PBE.

Cell: 8.4915 8.4915 6.0726 Å, 90.00 90.00 120.00°
Space group P6_3/mcm (No. 193)
Unique sites:
Li 0.0000 0.3255 0.2500 [6 per cell]
Cd 0.0000 0.3531 0.7500 [6 per cell]
Cd 0.3333 0.6667 0.0000 [4 per cell]
Pb 0.0000 0.0000 0.0000 [2 per cell]

***

Here is Li2Cd2Pb after structural relaxation from Alexandria. Energies are from PBE.

## Properties
- Energy above the lowest structure with this stoichiometry: 0.17 eV/f.u.

Cell: 3.131 4.753 29.652 Å, 90.00 90.00 90.00°
Space group Imma (No. 74)
Unique sites:
Li 0.000 0.250 0.025 [4 per cell]
Li 0.000 0.250 0.117 [4 per cell]
Cd 0.000 0.250 0.294 [4 per cell]
Cd 0.000 0.250 0.826 [4 per cell]
Pb 0.000 0.250 0.570 [4 per cell]

***

Here is Li2CdPb2 after structural relaxation from Alexandria. Energies are from PBE.

## Properties
- Energy above the lowest structure with this stoichiometry: 0.83 eV/f.u.

Cell: 4.258 4.258 13.614 Å, 90.00 90.00 90.00°
Space group I4/mmm (No. 139)
Unique sites:
Li 0.000 0.500 0.250 [4 per cell]
Cd 0.000 0.000 0.000 [2 per cell]
Pb 0.000 0.000 0.392 [4 per cell]

***

Here is Li2Cd8Pb after structural relaxation from Alexandria. Energies are from PBE.

Cell: 4.817 6.927 15.099 Å, 90.00 90.00 90.00°
Space group Immm (No. 71)
Unique sites:
Li 0.000 0.000 0.181 [4 per cell]
Cd 0.000 0.201 0.000 [4 per cell]
Cd 0.000 0.279 0.337 [8 per cell]
Cd 0.000 0.500 0.164 [4 per cell]
Pb 0.000 0.000 0.500 [2 per cell]

***

Here is Li5Cd3Pb4 after structural relaxation from Alexandria. Energies are from PBE.

Cell: 6.284 6.555 7.102 Å, 95.89 96.07 107.60°
Space group P-1 (No. 2)
Unique sites:
Li 0.000 0.000 0.000 [1 per cell]
Li 0.268 0.531 0.031 [2 per cell]
Li 0.482 0.313 0.336 [2 per cell]
Cd 0.241 0.865 0.337 [2 per cell]
Cd 0.500 0.000 0.000 [1 per cell]
Pb 0.031 0.671 0.691 [2 per cell]
Pb 0.286 0.226 0.699 [2 per cell]

***

Here is Li2Cd2Pb after structural relaxation from Alexandria. Energies are from PBE.

## Properties
- Energy above the lowest structure with this stoichiometry: 0.08 eV/f.u.

Cell: 8.156 8.156 3.294 Å, 90.00 90.00 90.00°
Space group P4/mbm (No. 127)
Unique sites:
Li 0.168 0.332 0.000 [4 per cell]
Cd 0.128 0.628 0.500 [4 per cell]
Pb 0.000 0.000 0.500 [2 per cell]

***

Here is LiPmCdPb after structural relaxation from Alexandria. Energies are from PBE.

## Properties
- Energy above the lowest structure with this stoichiometry: 0.00 eV/f.u.

Cell: 7.422 7.422 7.422 Å, 90.00 90.00 90.00°
Space group F-43m (No. 216)
Unique sites:
Li 0.000 0.000 0.000 [4 per cell]
Pm 0.000 0.000 0.500 [4 per cell]
Cd 0.250 0.250 0.250 [4 per cell]
Pb 0.250 0.250 0.750 [4 per cell]

***

no.,energy of formation from the pure elements (eV/atom)
1,-0.1419
2,-0.0736
3,0.0302
4,-0.0545
5,-0.0287
6,-0.1604
7,-0.1611
8,0.0046
9,-0.0575
10,-0.1608
11,-0.1782
12,-0.3783